Compound: La2Ga4O9
Source: Alexandria via LeMat-Bulk
Functional: meta-GGA SCAN
Structure: single point on PBEsol structure

Results
calculated density = 5.91 g cm⁻³
raw formation energy = -2.586 eV/atom
SG = Pbam, No. 55
density of states at the Fermi level = 0.000 states/eV per atom

abc: 5.886 7.695 8.694
angles: 90.00 90.00 90.00
Element x y z (fractional)
La 0.000 0.152 0.184
La 0.000 0.348 0.684
La 0.000 0.652 0.316
La 0.000 0.848 0.816
Ga 0.255 0.000 0.500
Ga 0.745 0.000 0.500
Ga 0.500 0.139 0.834
Ga 0.500 0.361 0.334
Ga 0.255 0.500 0.000
Ga 0.745 0.500 0.000
Ga 0.500 0.639 0.666
Ga 0.500 0.861 0.166
O 0.500 0.000 0.000
O 0.237 0.102 0.721
O 0.763 0.102 0.721
O 0.500 0.144 0.424
O 0.000 0.164 0.452
O 0.000 0.336 0.952
O 0.500 0.356 0.924
O 0.237 0.398 0.221
O 0.763 0.398 0.221
O 0.500 0.500 0.500
O 0.237 0.602 0.779
O 0.763 0.602 0.779
O 0.500 0.644 0.076
O 0.000 0.664 0.048
O 0.000 0.836 0.548
O 0.500 0.856 0.576
O 0.237 0.898 0.279
O 0.763 0.898 0.279